(1)
SCAN CrAs3Ru, single point on PBEsol structure; Fermi-level density of states = 3.076 states/eV/cell; magnetization = 4.04 μB/f.u.; space group = Pm-3m, No. 221; electronic total energy = -110.68 eV per cell
1.0
4.717 0.000 0.000
0.000 4.717 0.000
0.000 0.000 4.717
Cr As Ru
1 3 1
Cartesian
0.000 0.000 0.000
0.000 2.358 2.358
2.358 0.000 2.358
2.358 2.358 0.000
2.358 2.358 2.358



(2)
SCAN CrAs2Ru, single point on PBEsol structure; distance to the lowest polymorph of the same formula = 427 meV/atom; Fermi-level density of states = 7.797 states/eV/cell; magnetization = 2.04 μB/f.u.; space group = Cmm2, No. 35; electronic total energy = -185.18 eV per cell
1.0
2.911 0.000 0.000
0.000 4.638 0.000
0.000 0.000 9.312
Cr As Ru
2 4 2
Cartesian
0.000 0.000 0.000
1.456 2.319 0.000
0.000 0.000 5.225
0.000 2.319 1.947
1.456 0.000 1.947
1.456 2.319 5.225
0.000 2.319 7.274
1.456 0.000 7.274